An optimized crystal structure of Nd5Ho4, computed with PBE.

Calculated values
- Density of states at the Fermi level: 1.417 states/eV per atom
- Total moment: 0.0 μB per formula unit
- Mass density: 7.66 g/cm³
- Total DFT energy (no corrections): -4.67 eV/atom

Geometry as CIF:
```
data_Nd5Ho4
_cell_length_a 5.089
_cell_length_b 8.083
_cell_length_c 8.083
_cell_angle_alpha 84.26
_cell_angle_beta 71.60
_cell_angle_gamma 71.60
_symmetry_space_group_name_H-M 'P 1'
_symmetry_Int_Tables_number 1
_symmetry_space_group_name_Hall 'P 1'
loop_
_atom_site_label
_atom_site_type_symbol
_atom_site_fract_x
_atom_site_fract_y
_atom_site_fract_z
_atom_site_occupancy
Ho1 Ho 0.333 0.667 0.667 1
Nd1 Nd 0.331 0.336 0.003 1
Ho2 Ho 0.667 0.667 0.000 1
Ho3 Ho 0.333 0.000 0.333 1
Nd2 Nd 0.000 0.667 0.333 1
Nd3 Nd 0.000 0.336 0.664 1
Ho4 Ho 0.667 0.333 0.333 1
Nd4 Nd 0.000 0.998 0.002 1
Nd5 Nd 0.669 0.997 0.664 1
```